No. 1
NdLuGePd after structural relaxation, computed with PBE.

Results
volume = 22.79 Å³ per atom
energy of formation = -0.76 eV/atom
spin magnetization = 0.00 μB/f.u.
density of states at the Fermi level = 0.42 states/eV/atom

Geometry as extended XYZ:
```
4
Lattice="0.000 3.572 3.572 3.572 0.000 3.572 3.572 3.572 0.000" Properties=species:S:1:pos:R:3 pbc="T T T"
Nd 0.000 0.000 0.000
Lu 3.572 3.572 3.572
Ge 5.358 5.358 5.358
Pd 1.786 1.786 1.786
```

***

No. 2
SmTm4Ir5 after structural relaxation, computed with PBE.

Results
volume = 19.69 Å³ per atom
energy of formation = -0.85 eV/atom
spin magnetization = 0.00 μB/f.u.
density of states at the Fermi level = 0.35 states/eV/atom

Geometry as extended XYZ:
```
10
Lattice="3.324 0.000 0.000 0.000 3.324 0.000 0.000 0.000 17.816" Properties=species:S:1:pos:R:3 pbc="T T T"
Sm 0.000 0.000 0.000
Tm 0.000 0.000 3.645
Tm 0.000 0.000 7.156
Tm 0.000 0.000 10.660
Tm 0.000 0.000 14.171
Ir 1.662 1.662 1.924
Ir 1.662 1.662 5.410
Ir 1.662 1.662 8.908
Ir 1.662 1.662 12.406
Ir 1.662 1.662 15.892
```

***

No. 3
KNaAcIn after structural relaxation, computed with PBE.

Results
volume = 35.00 Å³ per atom
energy of formation = 0.04 eV/atom
spin magnetization = 0.00 μB/f.u.
density of states at the Fermi level = 0.31 states/eV/atom

Geometry as extended XYZ:
```
4
Lattice="0.000 4.121 4.121 4.121 0.000 4.121 4.121 4.121 0.000" Properties=species:S:1:pos:R:3 pbc="T T T"
K 0.000 0.000 0.000
Na 6.182 6.182 6.182
Ac 2.061 2.061 2.061
In 4.121 4.121 4.121
```

***

No. 4
MnAl2Mo after structural relaxation, computed with PBE.

Results
volume = 14.51 Å³ per atom
energy of formation = -0.16 eV/atom
spin magnetization = 2.94 μB/f.u.
density of states at the Fermi level = 0.60 states/eV/atom

Geometry as extended XYZ:
```
4
Lattice="2.761 0.000 0.000 0.000 3.679 0.000 0.000 0.000 5.714" Properties=species:S:1:pos:R:3 pbc="T T T"
Mn 0.000 0.000 0.000
Al 1.381 1.839 1.367
Al 1.381 1.839 4.347
Mo 0.000 0.000 2.857
```

***

No. 5
AgWS2Cl after structural relaxation, computed with PBE.

Results
energy relative to the elements, uncorrected = 0.22 eV per atom
volume = 23.68 Å³ per atom
distance to the lowest polymorph of the same formula = 0.68 eV/f.u.
spin magnetization = 0.00 μB/f.u.
density of states at the Fermi level = 0.92 states/eV/atom

Geometry as extended XYZ:
```
5
Lattice="4.524 0.000 0.000 0.000 4.524 0.000 0.000 0.000 5.784" Properties=species:S:1:pos:R:3 pbc="T T T"
Ag 0.000 0.000 0.000
W 0.000 0.000 2.892
S 0.000 2.262 2.892
S 2.262 0.000 2.892
Cl 2.262 2.262 0.000
```

***

No. 6
Rh2WBr after structural relaxation, computed with PBE.

Results
energy relative to the elements, uncorrected = 0.72 eV per atom
volume = 15.67 Å³ per atom
distance to the lowest polymorph of the same formula = 2.27 eV/f.u.
spin magnetization = 0.00 μB/f.u.
density of states at the Fermi level = 0.89 states/eV/atom

Geometry as extended XYZ:
```
4
Lattice="0.000 3.153 3.153 3.153 0.000 3.153 3.153 3.153 0.000" Properties=species:S:1:pos:R:3 pbc="T T T"
Rh 0.000 0.000 0.000
Rh 1.576 1.576 1.576
W 4.729 4.729 4.729
Br 3.153 3.153 3.153
```

***

No. 7
CaTiH6O2F6 after structural relaxation, computed with PBE.

Results
volume = 12.09 Å³ per atom
distance to the lowest polymorph of the same formula = 0.60 eV/f.u.
spin magnetization = 1.98 μB/f.u.
density of states at the Fermi level = 0.22 states/eV/atom

Geometry as extended XYZ:
```
16
Lattice="6.320 -2.637 0.000 6.320 2.637 0.000 -0.598 0.000 5.802" Properties=species:S:1:pos:R:3 pbc="T T T"
Ca 0.000 0.000 0.000
Ti 6.021 0.561 2.901
H 3.250 1.157 4.405
H 1.853 -0.045 4.436
H 8.791 1.157 1.396
H 4.189 -1.086 1.359
H 10.188 -0.045 1.366
H 7.852 -1.086 4.442
O 2.263 0.905 4.679
O 9.778 0.905 1.122
F 4.782 1.577 1.400
F 4.555 1.514 4.198
F 7.259 1.577 4.401
F 7.487 1.514 1.603
F 5.828 -0.921 1.449
F 6.213 -0.921 4.353
```

***

No. 8
LaSc2H2 after structural relaxation, computed with PBE.

Results
volume = 20.30 Å³ per atom
distance to the lowest polymorph of the same formula = 0.08 eV/f.u.
spin magnetization = 0.94 μB/f.u.
density of states at the Fermi level = 0.75 states/eV/atom

Geometry as extended XYZ:
```
5
Lattice="-2.106 2.106 5.719 2.106 -2.106 5.719 2.106 2.106 -5.719" Properties=species:S:1:pos:R:3 pbc="T T T"
La 0.000 0.000 0.000
Sc 2.106 0.000 2.859
Sc 0.000 2.106 2.859
H 0.000 0.000 2.412
H 0.000 0.000 9.025
```

***

No. 9
LiSmTmTe3 after structural relaxation, computed with PBE.

Results
energy relative to the elements, uncorrected = -1.24 eV per atom
volume = 28.87 Å³ per atom
spin magnetization = 0.00 μB/f.u.
density of states at the Fermi level = 0.48 states/eV/atom

Geometry as extended XYZ:
```
12
Lattice="8.872 0.000 0.000 0.000 4.242 0.000 -2.249 0.000 9.204" Properties=species:S:1:pos:R:3 pbc="T T T"
Li 0.559 1.061 0.781
Li 6.065 3.182 8.423
Sm 0.027 1.061 6.754
Sm 6.596 3.182 2.450
Tm 2.167 3.182 3.101
Tm 4.457 1.061 6.104
Te -0.027 1.061 3.457
Te 2.107 3.182 0.008
Te 2.310 3.182 6.172
Te 4.313 1.061 3.032
Te 4.516 1.061 9.196
Te 6.650 3.182 5.748
```

***

No. 10
CuSi2Te after structural relaxation, computed with PBE.

Results
energy relative to the elements, uncorrected = 0.65 eV per atom
volume = 18.47 Å³ per atom
spin magnetization = 0.00 μB/f.u.
density of states at the Fermi level = 0.31 states/eV/atom

Geometry as extended XYZ:
```
4
Lattice="4.556 0.000 0.000 0.000 4.556 0.000 0.000 0.000 3.558" Properties=species:S:1:pos:R:3 pbc="T T T"
Cu 0.000 0.000 0.000
Si 0.000 2.278 1.779
Si 2.278 0.000 1.779
Te 2.278 2.278 0.000
```

***

No. 11
DyScNb4 after structural relaxation, computed with PBE.

Results
volume = 21.35 Å³ per atom
energy of formation = 0.16 eV/atom
spin magnetization = 0.00 μB/f.u.
density of states at the Fermi level = 1.99 states/eV/atom

Geometry as extended XYZ:
```
6
Lattice="0.000 4.001 4.001 4.001 0.000 4.001 4.001 4.001 0.000" Properties=species:S:1:pos:R:3 pbc="T T T"
Dy 0.000 0.000 0.000
Sc 6.002 6.002 6.002
Nb 2.997 2.997 2.997
Nb 5.005 5.005 2.997
Nb 5.005 2.997 5.005
Nb 2.997 5.005 5.005
```

***

No. 12
Ho5Tm8In after structural relaxation, computed with PBE.

Results
volume = 31.28 Å³ per atom
energy of formation = 0.19 eV/atom
spin magnetization = 0.00 μB/f.u.
density of states at the Fermi level = 1.22 states/eV/atom

Geometry as extended XYZ:
```
14
Lattice="-4.727 4.727 4.901 4.727 -4.727 4.901 4.727 4.727 -4.901" Properties=species:S:1:pos:R:3 pbc="T T T"
Ho 0.000 0.000 0.000
Ho 1.985 -0.981 4.110
Ho 3.746 2.742 0.791
Ho 2.742 5.708 -0.791
Ho 0.981 1.985 5.691
Tm 3.061 -0.650 0.901
Tm 3.904 3.001 -2.486
Tm 6.393 0.650 0.901
Tm 5.377 -1.666 3.999
Tm 0.823 1.726 2.414
Tm 4.077 1.666 3.999
Tm 1.726 -0.823 7.387
Tm 3.001 5.550 2.486
In 0.000 4.727 2.450
```